A relaxed CdCuTe2 crystal, computed with PBE.

Values from the calculation:
**Uncorrected formation energy**: 104 meV/atom
**Space-group type**: C2/m (12)

Cell: 5.174 5.174 4.679 Å, 72.14 72.14 105.06°
Fractional coordinates of all 4 atoms:
Te (0.500, 0.500, 0.000)
Te (0.000, 0.000, 0.000)
Cu (0.000, 0.500, 0.500)
Cd (0.500, 0.000, 0.500)


A relaxed CdCu3Te crystal, computed with PBE.

Values from the calculation:
**Uncorrected formation energy**: 603 meV/atom
**Distance to the lowest polymorph of the same formula**: 0 meV/atom
**Space-group type**: Pm-3m (221)

Cell: 4.944 4.944 4.944 Å, 90.00 90.00 90.00°
Fractional coordinates of all 5 atoms:
Cd (0.500, 0.500, 0.500)
Te (0.000, 0.000, 0.000)
Cu (0.500, 0.000, 0.000)
Cu (0.000, 0.500, 0.000)
Cu (0.000, 0.000, 0.500)


A relaxed CdCu2Te crystal, computed with PBE.

Values from the calculation:
**Uncorrected formation energy**: 185 meV/atom
**Distance to the lowest polymorph of the same formula**: 82 meV/atom
**Space-group type**: R-3m (166)

Cell: 6.394 6.394 6.394 Å, 36.05 36.05 36.05°
Fractional coordinates of all 4 atoms:
Cu (0.997, 0.997, 0.997)
Te (0.250, 0.250, 0.250)
Cd (0.750, 0.750, 0.750)
Cu (0.503, 0.503, 0.503)


no.,V (Å³/atom)
1,26.11
2,24.18
3,20.25